Entry 1:
The following is a PBEsol calculation of a relaxed structure of MnFe, from the Alexandria database.

## Properties
space-group type	P6_3/mmc (194)
uncorrected energy	-8.1833	eV/atom

Lattice parameters (Å, degrees): 3.733 3.733 4.437 90.00 90.00 120.00
Fractional coordinates of all 4 atoms:
Mn1 0.333 0.667 0.250
Mn2 0.667 0.333 0.750
Fe1 0.333 0.667 0.750
Fe2 0.667 0.333 0.250

***

Entry 2:
The following is a PBEsol calculation of a relaxed structure of Tb6GaCo2, from the Alexandria database.

## Properties
space-group type	Immm (71)
uncorrected energy	-5.7128	eV/atom

Lattice parameters (Å, degrees): 8.151 8.151 8.151 112.05 109.49 106.91
Fractional coordinates of all 18 atoms:
Tb1 0.041 0.238 0.803
Tb2 0.181 0.281 0.462
Tb3 0.181 0.719 0.900
Tb4 0.326 0.014 0.688
Tb5 0.326 0.638 0.312
Tb6 0.436 0.238 0.197
Tb7 0.564 0.762 0.803
Tb8 0.674 0.362 0.688
Tb9 0.674 0.986 0.312
Tb10 0.819 0.281 0.100
Tb11 0.819 0.719 0.538
Tb12 0.959 0.762 0.197
Ga1 0.000 0.000 0.000
Ga2 0.500 0.500 0.000
Co1 0.114 0.614 0.500
Co2 0.337 0.000 0.337
Co3 0.663 0.000 0.663
Co4 0.886 0.386 0.500

***

Entry 3:
The following is a PBEsol calculation of a relaxed structure of Ga3PbSe, from the Alexandria database.

## Properties
uncorrected formation energy	0.617	eV/atom
space-group type	Pm-3m (221)

Lattice parameters (Å, degrees): 5.309 5.309 5.309 90.00 90.00 90.00
Fractional coordinates of all 5 atoms:
Ga1 0.000 0.000 0.500
Ga2 0.000 0.500 0.000
Ga3 0.500 0.000 0.000
Pb1 0.000 0.000 0.000
Se1 0.500 0.500 0.500

***

Entry 4:
The following is a PBEsol calculation of a relaxed structure of BaFeAg2, from the Alexandria database.

## Properties
space-group type	Cm (8)
energy above the most stable polymorph in this dataset	0	meV per atom

Lattice parameters (Å, degrees): 4.527 4.527 6.160 111.49 111.49 59.98
Fractional coordinates of all 4 atoms:
Ba1 0.000 0.000 0.000
Fe1 0.813 0.813 0.440
Ag1 0.192 0.192 0.577
Ag2 0.487 0.487 0.461

***

Entry 5:
The following is a PBEsol calculation of a relaxed structure of La3CdPd, from the Alexandria database.

## Properties
space-group type	Pm-3m (221)
uncorrected energy	-4.7290	eV/atom

Lattice parameters (Å, degrees): 5.564 5.564 5.564 90.00 90.00 90.00
Fractional coordinates of all 5 atoms:
La1 0.000 0.000 0.500
La2 0.000 0.500 0.000
La3 0.500 0.000 0.000
Cd1 0.500 0.500 0.500
Pd1 0.000 0.000 0.000

***

Entry 6:
The following is a PBEsol calculation of a relaxed structure of BeWCl, from the Alexandria database.

## Properties
uncorrected formation energy	0.361	eV/atom
space-group type	P3m1 (156)
energy above the most stable polymorph in this dataset	0	meV per atom

Lattice parameters (Å, degrees): 2.888 2.888 5.731 90.00 90.00 120.00
Fractional coordinates of all 3 atoms:
Be1 0.000 0.000 0.000
W1 0.667 0.333 0.321
Cl1 0.333 0.667 0.654

***

Entry 7:
The following is a PBEsol calculation of a relaxed structure of La2PtAu, from the Alexandria database.

## Properties
space-group type	P4/mmm (123)
uncorrected energy	-6.2484	eV/atom

Lattice parameters (Å, degrees): 4.257 4.257 6.003 90.00 90.00 90.00
Fractional coordinates of all 4 atoms:
La1 0.000 0.000 0.000
La2 0.500 0.500 0.500
Pt1 0.000 0.000 0.500
Au1 0.500 0.500 0.000

***

Entry 8:
The following is a PBEsol calculation of a relaxed structure of LiTl2As, from the Alexandria database.

## Properties
space-group type	R3m (160)
energy above the most stable polymorph in this dataset	0	meV per atom

Lattice parameters (Å, degrees): 6.593 6.593 6.593 38.45 38.45 38.45
Fractional coordinates of all 4 atoms:
Li1 0.000 0.000 0.000
Tl1 0.564 0.564 0.564
Tl2 0.769 0.769 0.769
As1 0.335 0.335 0.335

***

Entry 9:
The following is a PBEsol calculation of a relaxed structure of CaCu3S, from the Alexandria database.

## Properties
uncorrected formation energy	1.596	eV/atom
space-group type	Pm-3m (221)

Lattice parameters (Å, degrees): 4.806 4.806 4.806 90.00 90.00 90.00
Fractional coordinates of all 5 atoms:
Ca1 0.000 0.000 0.000
Cu1 0.000 0.000 0.500
Cu2 0.000 0.500 0.000
Cu3 0.500 0.000 0.000
S1 0.500 0.500 0.500

***

Entry 10:
The following is a PBEsol calculation of a relaxed structure of Mn2NbSiMo, from the Alexandria database.

## Properties
uncorrected formation energy	1.480	eV/atom
space-group type	P4/mmm (123)

Lattice parameters (Å, degrees): 4.366 4.366 4.854 90.00 90.00 90.00
Fractional coordinates of all 5 atoms:
Mn1 0.000 0.500 0.000
Mn2 0.500 0.000 0.000
Nb1 0.000 0.000 0.500
Si1 0.500 0.500 0.500
Mo1 0.000 0.000 0.000

***

Entry 11:
The following is a PBEsol calculation of a relaxed structure of LaSi3Ir, from the Alexandria database.

## Properties
uncorrected formation energy	-0.919	eV/atom
space-group type	I4mm (107)

Lattice parameters (Å, degrees): 5.754 5.754 5.754 136.62 136.62 63.03
Fractional coordinates of all 5 atoms:
La1 0.000 0.000 0.000
Si1 0.264 0.764 0.500
Si2 0.413 0.413 0.000
Si3 0.764 0.264 0.500
Ir1 0.655 0.655 0.000

***

Entry 12:
The following is a PBEsol calculation of a relaxed structure of HfNiHgO2, from the Alexandria database.

## Properties
uncorrected formation energy	-0.006	eV/atom
space-group type	P4/mmm (123)

Lattice parameters (Å, degrees): 3.871 3.871 4.732 90.00 90.00 90.00
Fractional coordinates of all 5 atoms:
Hf1 0.000 0.000 0.000
Ni1 0.000 0.000 0.500
Hg1 0.500 0.500 0.000
O1 0.000 0.500 0.500
O2 0.500 0.000 0.500

***

Number 1: density of states at the Fermi level 2.8 states/eV/f.u.. Number 2: density of states at the Fermi level 6.3 states/eV/f.u.. Number 3: density of states at the Fermi level 2.6 states/eV/f.u.. Number 4: density of states at the Fermi level 3.4 states/eV/f.u.. Number 5: density of states at the Fermi level 8.9 states/eV/f.u.. Number 6: density of states at the Fermi level 1.4 states/eV/f.u.. Number 7: density of states at the Fermi level 1.7 states/eV/f.u.. Number 8: density of states at the Fermi level 0.9 states/eV/f.u.. Number 9: density of states at the Fermi level 4.1 states/eV/f.u.. Number 10: density of states at the Fermi level 4.5 states/eV/f.u.. Number 11: density of states at the Fermi level 1.6 states/eV/f.u.. Number 12: density of states at the Fermi level 4.2 states/eV/f.u..